(1)
{"formula": "Ce2Al5Au3", "functional": "PBE", "state": "optimized geometry", "mass_density_g_cm3": 8.22, "ef_mev_per_atom": -637, "dos_ef_per_ev_atom": 1.27, "cell": [[6.1995, 0.0000, 0.0000], [3.0998, 8.1271, -0.1290], [3.0998, 1.1262, 8.0497]], "species": ["Ce", "Ce", "Ce", "Ce", "Al", "Al", "Al", "Al", "Al", "Al", "Al", "Al", "Al", "Al", "Au", "Au", "Au", "Au", "Au", "Au"], "frac_coords": [[0.1305, 0.6073, 0.1317], [0.6305, 0.1317, 0.6073], [0.8695, 0.3927, 0.8683], [0.3695, 0.8683, 0.3927], [0.3869, 0.2584, 0.9678], [0.8869, 0.9678, 0.2584], [0.6131, 0.7416, 0.0322], [0.1131, 0.0322, 0.7416], [0.4888, 0.7612, 0.7612], [0.5112, 0.2388, 0.2388], [0.7500, 0.5000, 0.5000], [0.2500, 0.5000, 0.5000], [0.0112, 0.2388, 0.2388], [0.9888, 0.7612, 0.7612], [0.3697, 0.5067, 0.7539], [0.8697, 0.7539, 0.5067], [0.6303, 0.4933, 0.2461], [0.1303, 0.2461, 0.4933], [0.2500, 0.0000, 0.0000], [0.7500, 0.0000, 0.0000]]}

***

(2)
{"formula": "CeAl3Au4", "functional": "PBE", "state": "optimized geometry", "mass_density_g_cm3": 10.46, "ef_mev_per_atom": -499, "dos_ef_per_ev_atom": 1.28, "cell": [[4.4174, 0.0000, 0.0000], [0.0000, 4.4174, 0.0000], [0.0000, 0.0000, 8.2116]], "species": ["Au", "Au", "Au", "Au", "Al", "Al", "Al", "Ce"], "frac_coords": [[0.0000, 0.5000, 0.1818], [0.0000, 0.5000, 0.8182], [0.5000, 0.0000, 0.8182], [0.5000, 0.0000, 0.1818], [0.0000, 0.0000, 0.0000], [0.5000, 0.5000, 0.3441], [0.5000, 0.5000, 0.6559], [0.0000, 0.0000, 0.5000]]}

***

(3)
{"formula": "CeAl3Au3", "functional": "PBE", "state": "optimized geometry", "mass_density_g_cm3": 7.98, "ef_mev_per_atom": -249, "dos_ef_per_ev_atom": 1.47, "cell": [[-0.7629, 5.1071, 4.6740], [4.5009, -3.2071, 4.2388], [5.2603, 3.4847, -2.9490]], "species": ["Au", "Au", "Au", "Au", "Au", "Au", "Al", "Al", "Al", "Al", "Al", "Al", "Ce", "Ce"], "frac_coords": [[0.0000, 0.2500, 0.5000], [0.0000, 0.7500, 0.5000], [0.5000, 0.0000, 0.7500], [0.7500, 0.5000, 0.0000], [0.5000, 0.0000, 0.2500], [0.2500, 0.5000, 0.0000], [0.2500, 0.0000, 0.5000], [0.0000, 0.5000, 0.2500], [0.5000, 0.7500, 0.0000], [0.7500, 0.0000, 0.5000], [0.0000, 0.5000, 0.7500], [0.5000, 0.2500, 0.0000], [0.5000, 0.5000, 0.5000], [0.0000, 0.0000, 0.0000]]}

***

(4)
{"formula": "Ce2Al3Au9", "functional": "PBE", "state": "optimized geometry", "mass_density_g_cm3": 12.91, "ef_mev_per_atom": -565, "dos_ef_per_ev_atom": 1.13, "cell": [[7.3983, -0.0424, -3.0850], [-4.3650, 6.7231, -0.0161], [0.2771, 0.1905, 10.9117]], "species": ["Ce", "Ce", "Ce", "Ce", "Al", "Al", "Al", "Al", "Al", "Al", "Au", "Au", "Au", "Au", "Au", "Au", "Au", "Au", "Au", "Au", "Au", "Au", "Au", "Au", "Au", "Au", "Au", "Au"], "frac_coords": [[0.3364, 0.2476, 0.7527], [0.6636, 0.7524, 0.2473], [0.9950, 0.5838, 0.7473], [0.0050, 0.4162, 0.2527], [0.5000, 0.0000, 0.0000], [0.5000, 0.5000, 0.5000], [0.8511, 0.1765, 0.5031], [0.1489, 0.8235, 0.4969], [0.1734, 0.3480, 0.9969], [0.8266, 0.6520, 0.0031], [0.4388, 0.9192, 0.7428], [0.5612, 0.0808, 0.2572], [0.6764, 0.6960, 0.7572], [0.3236, 0.3040, 0.2428], [0.4485, 0.6424, 0.9261], [0.5515, 0.3576, 0.0739], [0.2163, 0.5224, 0.5739], [0.7837, 0.4776, 0.4261], [0.8939, 0.1439, 0.7500], [0.1061, 0.8561, 0.2500], [0.1303, 0.9814, 0.9367], [0.8697, 0.0186, 0.0633], [0.5447, 0.1936, 0.5633], [0.4553, 0.8064, 0.4367], [0.8757, 0.8548, 0.5663], [0.1243, 0.1452, 0.4337], [0.7885, 0.3095, 0.9337], [0.2115, 0.6905, 0.0663]]}

***

(5)
{"formula": "CeAl4Au4", "functional": "PBE", "state": "optimized geometry", "mass_density_g_cm3": 9.80, "ef_mev_per_atom": -515, "dos_ef_per_ev_atom": 1.03, "cell": [[6.2959, 0.0000, 0.0000], [0.0000, 6.2959, 0.0000], [0.0000, 0.0000, 8.8608]], "species": ["Ce", "Ce", "Al", "Al", "Al", "Al", "Al", "Al", "Al", "Al", "Au", "Au", "Au", "Au", "Au", "Au", "Au", "Au"], "frac_coords": [[0.0000, 0.0000, 0.0000], [0.5000, 0.5000, 0.5000], [0.2237, 0.5000, 0.8991], [0.7763, 0.5000, 0.8991], [0.5000, 0.7763, 0.1009], [0.5000, 0.2237, 0.1009], [0.0000, 0.7237, 0.3991], [0.0000, 0.2763, 0.3991], [0.2763, 0.0000, 0.6009], [0.7237, 0.0000, 0.6009], [0.5000, 0.7763, 0.8082], [0.5000, 0.2237, 0.8082], [0.7763, 0.5000, 0.1918], [0.2237, 0.5000, 0.1918], [0.2763, 0.0000, 0.3082], [0.7237, 0.0000, 0.3082], [0.0000, 0.2763, 0.6918], [0.0000, 0.7237, 0.6918]]}

***

(6)
{"formula": "CeAl2Au6", "functional": "PBE", "state": "optimized geometry", "mass_density_g_cm3": 11.80, "ef_mev_per_atom": -355, "dos_ef_per_ev_atom": 1.03, "cell": [[4.5216, 0.0821, 0.6911], [0.6357, 6.4225, 2.6901], [0.0877, 0.6677, 6.9596]], "species": ["Ce", "Al", "Al", "Au", "Au", "Au", "Au", "Au", "Au"], "frac_coords": [[0.0000, 0.0000, 0.0000], [0.2846, 0.6867, 0.6867], [0.7154, 0.3133, 0.3133], [0.2076, 0.1163, 0.5150], [0.7924, 0.8837, 0.4850], [0.7924, 0.4850, 0.8837], [0.5000, 0.7065, 0.2935], [0.5000, 0.2935, 0.7065], [0.2076, 0.5150, 0.1163]]}

***

(7)
{"formula": "Ce2Al2Au5", "functional": "PBE", "state": "optimized geometry", "mass_density_g_cm3": 11.29, "ef_mev_per_atom": -529, "dos_ef_per_ev_atom": 1.95, "cell": [[-0.6216, -1.3238, 4.5117], [2.9829, -3.6289, -0.6538], [6.6087, 5.0037, 2.3786]], "species": ["Ce", "Ce", "Al", "Al", "Au", "Au", "Au", "Au", "Au"], "frac_coords": [[0.0000, 0.0000, 0.0000], [0.0000, 0.0000, 0.5000], [0.5000, 0.5000, 0.1529], [0.5000, 0.5000, 0.8471], [0.5000, 0.0000, 0.2652], [0.5000, 0.0000, 0.7348], [0.0000, 0.5000, 0.2652], [0.0000, 0.5000, 0.7348], [0.5000, 0.5000, 0.5000]]}

***

(8)
{"formula": "CeAlAu11", "functional": "PBE", "state": "optimized geometry", "mass_density_g_cm3": 15.31, "ef_mev_per_atom": -257, "dos_ef_per_ev_atom": 0.81, "cell": [[-1.8696, -3.9728, 3.3851], [-5.7911, -3.2034, -2.9464], [3.0592, -6.4344, -1.3217]], "species": ["Ce", "Al", "Au", "Au", "Au", "Au", "Au", "Au", "Au", "Au", "Au", "Au", "Au"], "frac_coords": [[0.0000, 0.0000, 0.0000], [0.5000, 0.5000, 0.0000], [0.3115, 0.2197, 0.2099], [0.6885, 0.7803, 0.7901], [0.4786, 0.7803, 0.2099], [0.5214, 0.2197, 0.7901], [0.3367, 0.6510, 0.6585], [0.6633, 0.3490, 0.3415], [0.0048, 0.3490, 0.6585], [0.9952, 0.6510, 0.3415], [0.0000, 0.5000, 0.0000], [0.5000, 0.0000, 0.5000], [0.0000, 0.0000, 0.5000]]}

***

(9)
{"formula": "CeAl6Au12", "functional": "PBE", "state": "optimized geometry", "mass_density_g_cm3": 12.17, "ef_mev_per_atom": -348, "dos_ef_per_ev_atom": 0.58, "cell": [[-1.7256, -3.3510, 6.4924], [7.2910, 1.7256, 0.4723], [-3.6540, 6.5577, 0.0573]], "species": ["Ce", "Al", "Al", "Al", "Al", "Al", "Al", "Au", "Au", "Au", "Au", "Au", "Au", "Au", "Au", "Au", "Au", "Au", "Au"], "frac_coords": [[0.0000, 0.0000, 0.0000], [0.6929, 0.2779, 0.2779], [0.2779, 0.2779, 0.6929], [0.2779, 0.6929, 0.2779], [0.7221, 0.7221, 0.3071], [0.3071, 0.7221, 0.7221], [0.7221, 0.3071, 0.7221], [0.8806, 0.1194, 0.5000], [0.8649, 0.6152, 0.6152], [0.6152, 0.6152, 0.8649], [0.3848, 0.1351, 0.3848], [0.3848, 0.3848, 0.1351], [0.1351, 0.3848, 0.3848], [0.1194, 0.5000, 0.8806], [0.5000, 0.8806, 0.1194], [0.1194, 0.8806, 0.5000], [0.8806, 0.5000, 0.1194], [0.5000, 0.1194, 0.8806], [0.6152, 0.8649, 0.6152]]}

***

(10)
{"formula": "CeAlAu", "functional": "PBE", "state": "optimized geometry", "mass_density_g_cm3": 9.14, "ef_mev_per_atom": 20, "dos_ef_per_ev_atom": 1.26, "cell": [[2.8696, 0.0000, 0.0000], [0.0000, 2.8696, 0.0000], [-1.4348, -1.4348, 8.0327]], "species": ["Au", "Al", "Ce"], "frac_coords": [[0.9608, 0.9608, 0.9215], [0.1209, 0.1209, 0.2419], [0.7683, 0.7683, 0.5366]]}

***

(11)
{"formula": "Ce6Al2Au", "functional": "PBE", "state": "optimized geometry", "mass_density_g_cm3": 8.98, "ef_mev_per_atom": -245, "dos_ef_per_ev_atom": 2.51, "cell": [[2.9487, 0.0000, 0.0000], [0.0000, 7.6986, -4.4448], [0.0000, 0.0000, 8.8896]], "species": ["Ce", "Ce", "Ce", "Ce", "Ce", "Ce", "Al", "Al", "Au"], "frac_coords": [[0.5000, 0.3362, 0.3362], [0.5000, 0.6638, 0.6638], [0.5000, 0.0000, 0.6638], [0.5000, 0.6638, 0.0000], [0.5000, 0.3362, 0.0000], [0.5000, 0.0000, 0.3362], [0.0000, 0.3333, 0.6667], [0.0000, 0.6667, 0.3333], [0.0000, 0.0000, 0.0000]]}

***

(12)
{"formula": "Ce3Al2Au6", "functional": "PBE", "state": "optimized geometry", "mass_density_g_cm3": 10.61, "ef_mev_per_atom": -462, "dos_ef_per_ev_atom": 2.10, "cell": [[-0.0604, 3.9150, -1.5401], [-3.0798, 1.0082, 2.6835], [11.5397, 1.5940, 9.3466]], "species": ["Ce", "Ce", "Ce", "Al", "Al", "Au", "Au", "Au", "Au", "Au", "Au"], "frac_coords": [[0.0000, 0.0000, 0.0000], [0.8237, 0.8237, 0.6475], [0.1763, 0.1763, 0.3525], [0.3709, 0.3709, 0.7417], [0.6291, 0.6291, 0.2583], [0.0793, 0.5793, 0.1586], [0.5793, 0.0793, 0.1586], [0.9207, 0.4207, 0.8414], [0.4207, 0.9207, 0.8414], [0.7188, 0.7188, 0.4376], [0.2812, 0.2812, 0.5624]]}

***

(13)
{"formula": "CeAl2Au6", "functional": "PBE", "state": "optimized geometry", "mass_density_g_cm3": 11.03, "ef_mev_per_atom": -177, "dos_ef_per_ev_atom": 1.28, "cell": [[8.3666, 0.0000, 0.0000], [4.1833, 7.2457, 0.0000], [4.1833, 2.4152, 6.8313]], "species": ["Ce", "Ce", "Al", "Al", "Al", "Al", "Au", "Au", "Au", "Au", "Au", "Au", "Au", "Au", "Au", "Au", "Au", "Au"], "frac_coords": [[0.5000, 0.5000, 0.5000], [0.7500, 0.7500, 0.7500], [0.1250, 0.1250, 0.1250], [0.1250, 0.6250, 0.1250], [0.1250, 0.1250, 0.6250], [0.6250, 0.1250, 0.1250], [0.2458, 0.2458, 0.7542], [0.7542, 0.7542, 0.2458], [0.2458, 0.7542, 0.2458], [0.2458, 0.7542, 0.7542], [0.4958, 0.4958, 0.0042], [0.4958, 0.0042, 0.0042], [0.7542, 0.2458, 0.7542], [0.0042, 0.0042, 0.4958], [0.4958, 0.0042, 0.4958], [0.0042, 0.4958, 0.4958], [0.7542, 0.2458, 0.2458], [0.0042, 0.4958, 0.0042]]}

***

(14)
{"formula": "CeAl2Au", "functional": "PBE", "state": "optimized geometry", "mass_density_g_cm3": 7.51, "ef_mev_per_atom": -510, "dos_ef_per_ev_atom": 1.43, "cell": [[-1.3348, 2.2861, -3.4234], [-0.9368, -2.0133, -3.7144], [-5.8157, -0.4849, -0.7914]], "species": ["Au", "Al", "Al", "Ce"], "frac_coords": [[0.5000, 0.5000, 0.5000], [0.7866, 0.7866, 0.6402], [0.2134, 0.2134, 0.3598], [0.0000, 0.0000, 0.0000]]}

***

(15)
{"formula": "CeAl7Au3", "functional": "PBE", "state": "optimized geometry", "mass_density_g_cm3": 7.49, "ef_mev_per_atom": -494, "dos_ef_per_ev_atom": 0.56, "cell": [[8.4908, -0.0004, -0.0003], [4.5636, 7.1601, -0.0003], [4.5636, 2.5029, 6.7084]], "species": ["Ce", "Ce", "Al", "Al", "Al", "Al", "Al", "Al", "Al", "Al", "Al", "Al", "Al", "Al", "Al", "Al", "Au", "Au", "Au", "Au", "Au", "Au"], "frac_coords": [[0.5000, 0.5000, 0.5000], [0.0000, 0.0000, 0.0000], [0.4310, 0.6474, 0.8307], [0.8307, 0.4310, 0.6474], [0.6474, 0.8307, 0.4310], [0.0690, 0.6693, 0.8526], [0.8526, 0.0690, 0.6693], [0.6693, 0.8526, 0.0690], [0.5690, 0.3526, 0.1693], [0.1693, 0.5690, 0.3526], [0.2500, 0.2500, 0.2500], [0.7500, 0.7500, 0.7500], [0.3307, 0.1474, 0.9310], [0.1474, 0.9310, 0.3307], [0.9310, 0.3307, 0.1474], [0.3526, 0.1693, 0.5690], [0.7500, 0.0703, 0.4297], [0.4297, 0.7500, 0.0703], [0.0703, 0.4297, 0.7500], [0.2500, 0.9297, 0.5703], [0.5703, 0.2500, 0.9297], [0.9297, 0.5703, 0.2500]]}

***

(16)
{"formula": "CeAl4Au", "functional": "PBE", "state": "optimized geometry", "mass_density_g_cm3": 5.35, "ef_mev_per_atom": -61, "dos_ef_per_ev_atom": 1.53, "cell": [[5.1092, 0.0000, 0.0000], [0.0000, 5.1092, 0.0000], [-2.5546, -2.5546, 10.5845]], "species": ["Ce", "Ce", "Al", "Al", "Al", "Al", "Al", "Al", "Al", "Al", "Au", "Au"], "frac_coords": [[0.0000, 0.0000, 0.0000], [0.7500, 0.2500, 0.5000], [0.6017, 0.3467, 0.2034], [0.6067, 0.8517, 0.7034], [0.0967, 0.8517, 0.7034], [0.6017, 0.8567, 0.2034], [0.1483, 0.3933, 0.2966], [0.6533, 0.3983, 0.7966], [0.1433, 0.3983, 0.7966], [0.1483, 0.9033, 0.2966], [0.5000, 0.5000, 0.0000], [0.2500, 0.7500, 0.5000]]}

***

(17)
{"formula": "CeAlAu", "functional": "PBE", "state": "optimized geometry", "mass_density_g_cm3": 8.03, "ef_mev_per_atom": -492, "dos_ef_per_ev_atom": 1.04, "cell": [[4.7388, 0.0000, 0.0000], [2.3694, 4.1039, 0.0000], [2.3694, 1.3680, 3.8692]], "species": ["Au", "Al", "Ce"], "frac_coords": [[0.2500, 0.2500, 0.2500], [0.0000, 0.0000, 0.0000], [0.5000, 0.5000, 0.5000]]}

***

(18)
{"formula": "CeAlAu2", "functional": "PBE", "state": "optimized geometry", "mass_density_g_cm3": 11.72, "ef_mev_per_atom": -510, "dos_ef_per_ev_atom": 1.55, "cell": [[3.2343, 0.0000, 0.0000], [0.0000, 3.2343, 0.0000], [0.0000, 0.0000, 7.6018]], "species": ["Au", "Au", "Al", "Ce"], "frac_coords": [[0.0000, 0.0000, 0.7957], [0.0000, 0.0000, 0.2043], [0.5000, 0.5000, 0.0000], [0.5000, 0.5000, 0.5000]]}

***

(19)
{"formula": "CeAlAu3", "functional": "PBE", "state": "optimized geometry", "mass_density_g_cm3": 11.98, "ef_mev_per_atom": -550, "dos_ef_per_ev_atom": 1.56, "cell": [[5.6916, 0.0000, 0.0000], [0.0000, 5.8073, 0.0000], [0.0000, 0.0000, 12.7132]], "species": ["Ce", "Ce", "Ce", "Ce", "Al", "Al", "Al", "Al", "Au", "Au", "Au", "Au", "Au", "Au", "Au", "Au", "Au", "Au", "Au", "Au"], "frac_coords": [[0.5000, 0.0000, 0.0000], [0.0000, 0.5000, 0.5000], [0.0000, 0.5000, 0.0000], [0.5000, 0.0000, 0.5000], [0.3108, 0.8038, 0.2500], [0.8108, 0.6962, 0.7500], [0.6892, 0.1962, 0.7500], [0.1892, 0.3038, 0.2500], [0.9836, 0.9854, 0.8902], [0.4836, 0.5146, 0.3902], [0.4836, 0.5146, 0.1098], [0.0164, 0.0146, 0.3902], [0.0164, 0.0146, 0.1098], [0.5164, 0.4854, 0.6098], [0.5164, 0.4854, 0.8902], [0.9836, 0.9854, 0.6098], [0.6279, 0.1314, 0.2500], [0.1279, 0.3686, 0.7500], [0.3721, 0.8686, 0.7500], [0.8721, 0.6314, 0.2500]]}

***

(20)
{"formula": "CeAl3Au3", "functional": "PBE", "state": "optimized geometry", "mass_density_g_cm3": 9.30, "ef_mev_per_atom": -443, "dos_ef_per_ev_atom": 0.86, "cell": [[8.3549, 0.0001, 0.0000], [4.1774, 7.2356, 0.0000], [4.1774, 2.4119, 4.7964]], "species": ["Ce", "Ce", "Al", "Al", "Al", "Al", "Al", "Al", "Au", "Au", "Au", "Au", "Au", "Au"], "frac_coords": [[0.3231, 0.3231, 0.0306], [0.6769, 0.6769, 0.9694], [0.2994, 0.8470, 0.8007], [0.8470, 0.0528, 0.8007], [0.0528, 0.2994, 0.8007], [0.9472, 0.7006, 0.1993], [0.1530, 0.9472, 0.1993], [0.7006, 0.1530, 0.1993], [0.2454, 0.5614, 0.3270], [0.8662, 0.2454, 0.3270], [0.5614, 0.8662, 0.3270], [0.4386, 0.1338, 0.6730], [0.1338, 0.7546, 0.6730], [0.7546, 0.4386, 0.6730]]}